1.
LiSbPd4 | PBE-GGA | relaxed

Results
**Size of the total moment**: 0.000 μB per atom
**Energy above the most stable polymorph in this dataset**: 0.00 eV per formula unit
**Space group**: C2/m, No. 12
**Calculated density**: 9.8 g/cm³
**V**: 188 Å³ per cell

abc: 4.317 10.117 4.315
angles: 90.00 89.83 90.00
Positions (direct):
Li  0.500  0.000  0.500
Li  0.000  0.500  0.500
Sb  0.000  0.000  0.000
Sb  0.500  0.500  0.000
Pd  0.000  0.657  0.000
Pd  0.500  0.157  0.000
Pd  0.500  0.344  0.500
Pd  0.000  0.844  0.500
Pd  0.000  0.343  0.000
Pd  0.500  0.843  0.000
Pd  0.500  0.656  0.500
Pd  0.000  0.156  0.500

2.
Li2SbPd2 | PBE-GGA | relaxed

Results
**Size of the total moment**: 0.000 μB per atom
**Energy above the most stable polymorph in this dataset**: 0.00 eV per formula unit
**Space group**: C2/m, No. 12
**Calculated density**: 7.3 g/cm³
**V**: 80 Å³ per cell

abc: 4.450 4.450 5.339
angles: 65.08 65.08 59.68
Positions (direct):
Li  0.202  0.702  0.393
Li  0.798  0.298  0.607
Sb  0.000  0.500  0.000
Pd  0.603  0.103  0.193
Pd  0.397  0.897  0.807

3.
LiSb2Pd3 | PBE-GGA | relaxed

Results
**Size of the total moment**: 0.000 μB per atom
**Energy above the most stable polymorph in this dataset**: 0.99 eV per formula unit
**Space group**: Immm, No. 71
**Calculated density**: 8.3 g/cm³
**V**: 114 Å³ per cell

abc: 3.148 4.596 8.326
angles: 106.02 100.90 90.00
Positions (direct):
Li  0.000  0.000  0.000
Sb  0.642  0.642  0.284
Sb  0.358  0.358  0.716
Pd  0.000  0.500  0.000
Pd  0.819  0.819  0.638
Pd  0.181  0.181  0.362

4.
Li2Sb2Pd7 | PBE-GGA | relaxed

Results
**Total DFT energy (no corrections)**: -52.68 eV/cell
**Size of the total moment**: 0.000 μB per atom
**Space group**: C2/m, No. 12
**Calculated density**: 8.9 g/cm³
**V**: 187 Å³ per cell

abc: 5.102 6.405 6.405
angles: 92.57 108.04 108.04
Positions (direct):
Li  0.000  0.231  0.769
Li  0.000  0.769  0.231
Sb  0.041  0.263  0.263
Sb  0.959  0.737  0.737
Pd  0.686  0.925  0.427
Pd  0.314  0.573  0.075
Pd  0.314  0.075  0.573
Pd  0.686  0.427  0.925
Pd  0.500  0.000  0.000
Pd  0.332  0.605  0.605
Pd  0.668  0.395  0.395

5.
Li2SbPd5 | PBE-GGA | relaxed

Results
**Size of the total moment**: 0.000 μB per atom
**Energy above the most stable polymorph in this dataset**: 0.00 eV per formula unit
**Space group**: I4/mmm, No. 139
**Calculated density**: 9.1 g/cm³
**V**: 122 Å³ per cell

abc: 5.472 5.472 5.472
angles: 115.74 115.74 97.56
Positions (direct):
Li  0.278  0.778  0.500
Li  0.777  0.278  0.499
Sb  0.778  0.778  0.000
Pd  0.278  0.278  0.500
Pd  0.278  0.777  0.000
Pd  0.778  0.278  0.000
Pd  0.778  0.778  0.500
Pd  0.278  0.278  0.000

6.
LiSbPd | PBE-GGA | relaxed

Results
**Total DFT energy (no corrections)**: -12.75 eV/cell
**Size of the total moment**: 0.000 μB per atom
**Space group**: P-6m2, No. 187
**Calculated density**: 7.0 g/cm³
**V**: 56 Å³ per cell

abc: 3.078 4.580 4.580
angles: 120.00 90.00 90.00
Positions (direct):
Sb  0.166  0.333  0.667
Pd  0.167  0.000  0.000
Li  0.667  0.667  0.333

7.
Li2SbPd5 | PBE-GGA | relaxed

Results
**Size of the total moment**: 0.000 μB per atom
**Energy above the most stable polymorph in this dataset**: 0.76 eV per formula unit
**Space group**: I4/mcm, No. 140
**Calculated density**: 9.2 g/cm³
**V**: 241 Å³ per cell

abc: 6.583 6.583 7.257
angles: 116.97 116.97 90.00
Positions (direct):
Li  0.144  0.356  0.000
Li  0.644  0.144  0.000
Li  0.356  0.856  0.000
Li  0.856  0.644  0.000
Sb  0.750  0.750  0.500
Sb  0.250  0.250  0.500
Pd  0.501  0.696  0.697
Pd  0.804  0.999  0.303
Pd  0.000  0.000  0.000
Pd  0.500  0.500  0.000
Pd  0.196  0.001  0.697
Pd  0.696  0.196  0.697
Pd  0.001  0.501  0.697
Pd  0.304  0.804  0.303
Pd  0.999  0.499  0.303
Pd  0.499  0.304  0.303

8.
LiSb2Pd | PBE-GGA | relaxed

Results
**Size of the total moment**: 0.000 μB per atom
**Energy above the most stable polymorph in this dataset**: 0.00 eV per formula unit
**Space group**: R3m, No. 160
**Calculated density**: 6.6 g/cm³
**V**: 90 Å³ per cell

abc: 4.367 4.367 5.994
angles: 68.63 68.63 60.00
Positions (direct):
Li  0.497  0.497  0.510
Sb  0.072  0.072  0.783
Sb  0.263  0.263  0.210
Pd  0.668  0.668  0.997